Record 1
First-principles (PBE) data for crystalline DyScCo10 at its relaxed geometry, as listed in Alexandria.

Calculated values
The formation energy is -111 meV per atom. The energy comes out at -0.51032 Ry per atom. The value obtained for the density of states at the Fermi level is 1.43 states/eV per atom.

abc: 3.9635 4.8348 8.4016
angles: 90.00 90.00 90.00
Last column: nearest neighbours and their distance in Å.
Space group Pmmm (No. 47)
Asymmetric unit:
Dy 0.0000 0.0000 0.0000 x1  18 Co 2.86-3.15
Sc 0.0000 0.5000 0.5000 x1  6 Co 2.67-2.76
Co 0.0000 0.0000 0.3420 x2  7 Co 2.39-2.65
Co 0.0000 0.5000 0.1819 x2  6 Co 2.39-2.50, 1 Sc 2.67
Co 0.5000 0.0000 0.5000 x1  8 Co 2.39-2.40
Co 0.5000 0.2508 0.2530 x4  8 Co 2.39-2.44
Co 0.5000 0.5000 0.0000 x1  8 Co 2.44-2.50

Record 2
First-principles (PBE) data for crystalline Ba3Tl7Pb4 at its relaxed geometry, as listed in Alexandria.

Calculated values
The formation energy is -288 meV per atom. The energy comes out at -0.21625 Ry per atom. The value obtained for the density of states at the Fermi level is 0.50 states/eV per atom.

abc: 19.7190 5.1017 12.3353
angles: 90.00 128.23 90.00
Last column: nearest neighbours and their distance in Å.
Space group C2/m (No. 12)
Asymmetric unit:
Ba 0.0000 0.0000 0.0000 x2  4 Pb 3.73, 4 Tl 3.77
Ba 0.1986 0.5000 0.6953 x4  8 Tl 3.66-4.00, 4 Pb 3.79-3.93
Tl 0.0000 0.0000 0.5000 x2  6 Tl 3.39-3.53, 2 Pb 3.59
Tl 0.0058 0.5000 0.6861 x4  3 Pb 3.18-3.46, 3 Tl 3.27-3.39
Tl 0.1492 0.5000 0.0225 x4  4 Pb 3.20-3.25, 1 Tl 3.27
Tl 0.1572 0.0000 0.4480 x4  3 Pb 3.21-3.31, 1 Tl 3.53
Pb 0.1383 0.5000 0.2732 x4  5 Tl 3.18-3.31
Pb 0.1532 0.0000 0.8701 x4  5 Tl 3.20-3.46

Record 3
First-principles (PBE) data for crystalline NaAcCd at its relaxed geometry, as listed in Alexandria.

Calculated values
The formation energy is -27 meV per atom. The energy comes out at -0.15736 Ry per atom. The value obtained for the density of states at the Fermi level is 0.74 states/eV per atom.

abc: 3.9030 3.9030 13.6105
angles: 90.00 90.00 90.00
Last column: nearest neighbours and their distance in Å.
Space group I4mm (No. 107)
Asymmetric unit:
Na 0.0000 0.0000 0.0000 x2  4 Cd 3.30
Ac 0.0000 0.0000 0.2866 x2  4 Cd 3.46
Cd 0.0000 0.0000 0.6330 x2  4 Na 3.30, 4 Ac 3.46